A plane-wave DFT calculation with GGA-PBE was carried out for LiNdGeAu after structural relaxation.

Cell and atoms, written as POSCAR:
```
LiNdGeAu
1.0
-3.890 -1.888 2.426
0.295 -0.853 4.875
-2.555 2.828 3.171
Au Ge Li Nd
1 1 1 1
Direct
0.750 0.750 0.750
0.250 0.250 0.250
0.500 0.500 0.500
0.000 0.000 0.000
```

Summary:
space-group type	F-43m (216)
formation energy from the elements	-58	kJ/mol of atoms